No. 1
VASP calculation (PBE) on a relaxed structure of Sm4SnPb3.

abc: 4.472 4.606 11.810
angles: 90.00 90.00 90.00
Space group Pmm2 (No. 25)
One atom of each set of equivalent atoms:
Sm1 0.000 0.000 0.000 x1
Sm2 0.000 0.500 0.494 x1
Sm3 0.500 0.000 0.733 x1
Sm4 0.500 0.500 0.232 x1
Sn1 0.000 0.000 0.270 x1
Pb1 0.000 0.500 0.766 x1
Pb2 0.500 0.000 0.460 x1
Pb3 0.500 0.500 0.962 x1

---

No. 2
VASP calculation (PBE) on a relaxed structure of SmSn2Pb.

abc: 5.0944 5.0944 23.8232
angles: 90.00 90.00 120.00
Space group R-3m (No. 166, hexagonal axes)
One atom of each set of equivalent atoms:
Sm1 0.0000 0.0000 0.0000 x3
Sn1 0.0000 0.0000 0.3791 x6
Pb1 0.0000 0.0000 0.5000 x3

---

No. 3
VASP calculation (PBE) on a relaxed structure of SmSnPb2.

abc: 4.855 4.855 4.874
angles: 90.00 90.00 90.00
Space group P4/mmm (No. 123)
One atom of each set of equivalent atoms:
Sm1 0.000 0.000 0.000 x1
Sn1 0.500 0.500 0.000 x1
Pb1 0.000 0.500 0.500 x2

---

No. 4
VASP calculation (PBE) on a relaxed structure of Sm3SnPb2.

abc: 16.348 6.387 7.442
angles: 90.00 103.08 90.00
Space group C2/c (No. 15)
One atom of each set of equivalent atoms:
Sm1 0.000 0.009 0.250 x4
Sm2 0.163 0.496 0.581 x8
Sn1 0.000 0.490 0.750 x4
Pb1 0.168 0.004 0.084 x8

---

No. 5
VASP calculation (PBE) on a relaxed structure of Sm3SnPb.

abc: 5.012 6.500 10.476
angles: 93.25 90.06 112.67
Space group P-1 (No. 2)
One atom of each set of equivalent atoms:
Sm1 0.091 0.180 0.366 x2
Sm2 0.357 0.715 0.918 x2
Sm3 0.394 0.786 0.314 x2
Sn1 0.075 0.151 0.890 x2
Pb1 0.255 0.512 0.627 x2

---

No. 6
VASP calculation (PBE) on a relaxed structure of Sm4Sn3Pb.

abc: 4.398 4.604 11.688
angles: 90.00 90.00 90.00
Space group Pmm2 (No. 25)
One atom of each set of equivalent atoms:
Sm1 0.000 0.000 0.000 x1
Sm2 0.000 0.500 0.495 x1
Sm3 0.500 0.000 0.728 x1
Sm4 0.500 0.500 0.229 x1
Sn1 0.000 0.000 0.272 x1
Sn2 0.500 0.000 0.455 x1
Sn3 0.500 0.500 0.957 x1
Pb1 0.000 0.500 0.769 x1

---

Number 1: calculated total energy -4.85 eV per atom, E_form -598 meV/atom. Number 2: calculated total energy -3.82 eV per atom, E_form 287 meV/atom. Number 3: calculated total energy -4.42 eV per atom, E_form -381 meV/atom. Number 4: calculated total energy -4.75 eV per atom, E_form -490 meV/atom. Number 5: calculated total energy -4.83 eV per atom, E_form -451 meV/atom. Number 6: calculated total energy -5.04 eV per atom, E_form -713 meV/atom.